# Sm3Dy2Hg2 PBE-GGA relaxed
data_Sm3Dy2Hg2
_symmetry_space_group_name_H-M 'R -3 m'
_symmetry_Int_Tables_number 166
_symmetry_space_group_name_Hall '-R 3 2"'
_cell_length_a 5.4187
_cell_length_b 5.4187
_cell_length_c 24.0100
_cell_angle_alpha 90.00
_cell_angle_beta 90.00
_cell_angle_gamma 120.00
loop_
_atom_site_label
_atom_site_type_symbol
_atom_site_fract_x
_atom_site_fract_y
_atom_site_fract_z
Sm1 Sm 0.0000 0.0000 0.0000
Sm2 Sm 0.0000 0.0000 0.1585
Dy1 Dy 0.0000 0.0000 0.4253
Hg1 Hg 0.0000 0.0000 0.2878
# excess energy over the best structure of this formula in the dataset	0.000	eV/atom
# ΔE_f	-241	meV per atom
# crystal system	trigonal